Entry 1:
VASP calculation (GGA-PBE) on a geometry-optimized CeTcGe2Os structure.

a = 5.916 Å, b = 5.916 Å, c = 5.916 Å
α = 137.68°, β = 137.68°, γ = 61.39°
Positions (direct):
Ce 0.000 0.000 0.000
Tc 0.750 0.250 0.500
Ge 0.373 0.373 0.000
Ge 0.627 0.627 0.000
Os 0.250 0.750 0.500

Computed properties:
* formation energy from the elements: -194.1 kJ/mol of formula units


Entry 2:
VASP calculation (GGA-PBE) on a geometry-optimized Li2SiGe structure.

a = 3.802 Å, b = 3.802 Å, c = 4.163 Å
α = 90.00°, β = 90.00°, γ = 90.00°
Positions (direct):
Li 0.000 0.500 0.000
Li 0.500 0.000 0.000
Si 0.000 0.000 0.500
Ge 0.500 0.500 0.500

Computed properties:
* E_form (uncorrected): -0.196 eV per atom


Entry 3:
VASP calculation (GGA-PBE) on a geometry-optimized Na2Er2NpO6 structure.

a = 5.958 Å, b = 5.958 Å, c = 5.939 Å
α = 99.25°, β = 99.25°, γ = 120.26°
Positions (direct):
Na 0.173 0.827 0.000
Na 0.827 0.173 0.000
Er 0.334 0.666 0.500
Er 0.666 0.334 0.500
Np 0.000 0.000 0.500
O 0.052 0.396 0.698
O 0.254 0.254 0.306
O 0.396 0.052 0.698
O 0.604 0.948 0.302
O 0.746 0.746 0.694
O 0.948 0.604 0.302

Computed properties:
* E_form (uncorrected): -2.819 eV per atom


Entry 4:
VASP calculation (GGA-PBE) on a geometry-optimized CeMgCoRu structure.

a = 4.587 Å, b = 4.587 Å, c = 4.587 Å
α = 60.00°, β = 60.00°, γ = 60.00°
Positions (direct):
Ce 0.000 0.000 0.000
Mg 0.500 0.500 0.500
Co 0.250 0.250 0.250
Ru 0.750 0.750 0.750

Computed properties:
* formation energy from the elements: -50.4 kJ/mol of formula units


Entry 5:
VASP calculation (GGA-PBE) on a geometry-optimized CaScSb2 structure.

a = 3.644 Å, b = 3.644 Å, c = 8.159 Å
α = 90.00°, β = 90.00°, γ = 101.67°
Positions (direct):
Ca 0.000 0.000 0.000
Sc 0.000 0.000 0.500
Sb 0.500 0.500 0.272
Sb 0.500 0.500 0.728

Computed properties:
* E_form (uncorrected): -0.741 eV per atom


Entry 6:
VASP calculation (GGA-PBE) on a geometry-optimized Ba2TlCo structure.

a = 3.857 Å, b = 3.857 Å, c = 9.498 Å
α = 90.00°, β = 90.00°, γ = 90.00°
Positions (direct):
Ba 0.000 0.000 0.000
Ba 0.500 0.500 0.418
Tl 0.500 0.500 0.764
Co 0.000 0.000 0.658

Computed properties:
* formation energy from the elements: 99.2 kJ/mol of formula units


Number 1: V 93 Å³ per cell, ρ 10.3 g/cm3. Number 2: V 60 Å³ per cell, ρ 3.2 g/cm3. Number 3: V 172 Å³ per cell, ρ 6.9 g/cm3. Number 4: V 68 Å³ per cell, ρ 7.9 g/cm3. Number 5: V 106 Å³ per cell, ρ 5.1 g/cm3. Number 6: V 141 Å³ per cell, ρ 6.3 g/cm3.